# HfCdPb

A geometry-optimized HfCdPb structure (PBE, OQMD).

Cell: 3.6134 3.6134 10.6492 Å, 90.00 90.00 90.00°
With the nearest neighbours (Å) after each atom.
Atoms (fractional coordinates):
Hf1 0.0000 0.0000 0.0000  8 Pb 3.16
Hf2 0.5000 0.5000 0.5000  8 Cd 3.04
Cd1 0.0000 0.0000 0.3446  4 Hf 3.04, 4 Pb 3.13, 1 Cd 3.31
Cd2 0.0000 0.0000 0.6554  4 Hf 3.04, 4 Pb 3.13, 1 Cd 3.31
Pb1 0.5000 0.5000 0.1749  4 Cd 3.13, 5 Hf 3.16-3.46
Pb2 0.5000 0.5000 0.8251  4 Cd 3.13, 5 Hf 3.16-3.46

Summary:
* SG: P4/mmm (123)
* raw total energy: -4.62 eV per atom
* energy above the lowest structure with this stoichiometry: 0.16 eV per formula unit
* total magnetic moment: 0.03 μB/cell
* volume: 23.2 Å³ per atom

***

# GdUTc

A geometry-optimized GdUTc structure (PBE, OQMD).

Cell: 4.5971 4.5971 4.5971 Å, 60.00 60.00 60.00°
With the nearest neighbours (Å) after each atom.
Atoms (fractional coordinates):
Gd1 0.0000 0.0000 0.0000  4 U 2.82
U1 0.2500 0.2500 0.2500  4 Gd 2.82, 4 Tc 2.82
Tc1 0.5000 0.5000 0.5000  4 U 2.82

Summary:
* SG: F-43m (216)
* raw total energy: -7.82 eV per atom
* energy above the lowest structure with this stoichiometry: 0.00 eV per formula unit
* total magnetic moment: 0.81 μB/cell
* formation energy from the elements: 2.86 eV/f.u.
* volume: 22.9 Å³ per atom

***

The lowest total magnetic moment belongs to which entry?
HfCdPb

***

What did the second record say?
# GdUTc

A geometry-optimized GdUTc structure (PBE, OQMD).

Cell: 4.5971 4.5971 4.5971 Å, 60.00 60.00 60.00°
With the nearest neighbours (Å) after each atom.
Atoms (fractional coordinates):
Gd1 0.0000 0.0000 0.0000  4 U 2.82
U1 0.2500 0.2500 0.2500  4 Gd 2.82, 4 Tc 2.82
Tc1 0.5000 0.5000 0.5000  4 U 2.82

Summary:
* SG: F-43m (216)
* raw total energy: -7.82 eV per atom
* energy above the lowest structure with this stoichiometry: 0.00 eV per formula unit
* total magnetic moment: 0.81 μB/cell
* formation energy from the elements: 2.86 eV/f.u.
* volume: 22.9 Å³ per atom

***

The lowest volume belongs to which entry?
GdUTc